AlTl3 | the Alexandria database | PBE | optimized geometry; DFT formation energy = 0.159 eV per atom; electronic total energy = -2.5514 eV/atom
1.0
-2.419 0.689 -2.140
-1.325 -0.740 2.933
0.459 10.442 2.841
Tl Al
3 1
Direct
0.500 0.500 0.227
0.000 0.000 0.500
0.500 0.500 0.773
0.000 0.000 0.000